The following is a GGA-PBE calculation of crystalline ScBiAu2 at its relaxed geometry, from Alexandria via LeMat-Bulk.

Geometry as CIF:
```
data_ScBiAu2
_chemical_formula_sum 'Sc1 Bi1 Au2'
_symmetry_space_group_name_H-M 'P 1'
_symmetry_Int_Tables_number 1
_cell_length_a 3.455
_cell_length_b 3.455
_cell_length_c 7.388
_cell_angle_alpha 90.00
_cell_angle_beta 90.00
_cell_angle_gamma 90.00
loop_
_symmetry_equiv_pos_as_xyz
'x,y,z'
loop_
_atom_site_label
_atom_site_fract_x
_atom_site_fract_y
_atom_site_fract_z
Au1 0.000 0.000 0.787
Bi1 0.500 0.500 0.500
Sc1 0.500 0.500 0.000
Au2 0.000 0.000 0.213
```

Results
- symmetry = P4/mmm (123)
- formation enthalpy at 0 K (meV/atom) = -503